Record 1
10
Lattice="5.161 0.000 0.000 0.000 5.455 0.000 -2.197 0.000 4.674" Properties=species:S:1:pos:R:3 comment="VOF3, optimized geometry, DFT GGA-PBEsol" mass_density_g_cm3=3.13 m_tot_mub_per_cell=0.00 formation_energy_uncorrected_mev_per_atom=-2635 pbc="T T T"
V 0.670 0.000 1.041
V 2.294 2.727 3.633
O 0.139 1.238 0.153
O 2.824 3.965 4.521
F -0.698 5.008 2.021
F 2.112 4.914 0.227
F 1.430 3.538 2.325
F 1.534 0.811 2.349
F 0.852 2.187 4.447
F 3.662 2.280 2.653

=====

Record 2
10
Lattice="2.723 -2.728 0.000 2.723 2.728 0.000 0.000 0.000 9.236" Properties=species:S:1:pos:R:3 comment="WO2F2, optimized geometry, DFT GGA-PBEsol" mass_density_g_cm3=6.14 m_tot_mub_per_cell=0.00 polymorph_energy_mev_per_atom=0 formation_energy_uncorrected_mev_per_atom=-2402 pbc="T T T"
W 2.723 1.716 6.927
W 2.723 -1.716 2.309
O 1.355 0.142 6.927
O 1.355 -0.142 2.309
O 4.092 0.142 6.927
O 4.092 -0.142 2.309
F 2.723 1.371 5.093
F 2.723 1.371 8.761
F 2.723 -1.371 0.475
F 2.723 -1.371 4.143